Entry 1:
Nb3PdN | PBE-GGA | relaxed

Calculated values
Formation energy without anion corrections   2.31 eV per atom

Cell and atoms, written as POSCAR:
```
Nb3PdN
1.0
-2.334 1.566 -3.920
1.646 -3.787 -2.493
-3.887 -2.545 1.298
Nb N Pd
3 1 1
Direct
0.000 0.000 0.500
0.500 0.000 0.000
0.000 0.500 0.000
0.500 0.500 0.500
0.000 0.000 0.000
```

---

Entry 2:
Nb2PdN | PBE-GGA | relaxed

Calculated values
Formation energy without anion corrections   -0.58 eV per atom

Cell and atoms, written as POSCAR:
```
Nb2PdN
1.0
-1.995 -2.085 1.228
0.249 -0.820 3.017
-4.819 4.103 3.143
Nb N Pd
2 1 1
Direct
0.776 0.776 0.672
0.224 0.224 0.328
0.500 0.500 0.500
0.000 0.000 0.000
```

---

Entry 3:
NbPdN | PBE-GGA | relaxed

Calculated values
Energy above the lowest structure with this stoichiometry   0.52 eV per formula unit
Formation energy without anion corrections   -0.41 eV per atom

Cell and atoms, written as POSCAR:
```
NbPdN
1.0
-5.002 -1.543 0.051
0.830 -2.654 1.173
2.154 5.097 10.009
Pd Nb N
4 4 4
Direct
0.714 0.500 0.309
0.714 0.000 0.809
0.705 0.000 0.060
0.705 0.500 0.560
0.289 0.000 0.137
0.289 0.500 0.637
0.265 0.500 0.892
0.265 0.000 0.392
0.063 0.500 0.459
0.063 0.000 0.959
0.285 0.000 0.760
0.285 0.500 0.260
```

---

Entry 4:
Nb3PdN | PBE-GGA | relaxed

Calculated values
Formation energy without anion corrections   -0.55 eV per atom

Cell and atoms, written as POSCAR:
```
Nb3PdN
1.0
4.253 0.000 0.000
0.000 4.253 0.000
0.000 0.000 4.253
N Nb Pd
1 3 1
Direct
0.000 0.000 0.000
0.500 0.000 0.000
0.000 0.500 0.000
0.000 0.000 0.500
0.500 0.500 0.500
```

---

Entry 5:
Nb4Pd2N | PBE-GGA | relaxed

Calculated values
Energy above the lowest structure with this stoichiometry   1.40 eV per formula unit
Formation energy without anion corrections   -0.35 eV per atom

Cell and atoms, written as POSCAR:
```
Nb4Pd2N
1.0
-0.928 -2.444 -1.556
0.673 -4.088 6.020
-9.562 2.060 2.469
Nb Pd N
8 4 2
Direct
0.000 0.638 0.808
0.500 0.820 0.578
0.500 0.320 0.922
0.500 0.180 0.422
0.000 0.862 0.308
0.500 0.680 0.078
0.000 0.138 0.692
0.000 0.362 0.192
0.500 0.444 0.626
0.500 0.556 0.374
0.500 0.056 0.126
0.500 0.944 0.874
0.000 0.000 0.500
0.000 0.500 0.000
```

---

Entry 6:
NbPdN3 | PBE-GGA | relaxed

Calculated values
Formation energy without anion corrections   1.50 eV per atom

Cell and atoms, written as POSCAR:
```
NbPdN3
1.0
-3.159 -1.612 1.456
1.732 -0.320 3.405
-1.310 3.464 0.992
Pd N Nb
1 3 1
Direct
0.000 0.000 0.000
0.500 0.000 0.000
0.000 0.500 0.000
0.000 0.000 0.500
0.500 0.500 0.500
```